A PBEsol-optimized structure of Sr2OsW. Source: Alexandria via LeMat-Bulk, functional SCAN.

Values from the calculation:
As for the formation enthalpy at 0 K: 0.482 eV/atom. The value obtained for the density of states at the Fermi level is 0.7257 states/eV per atom. The energy above the most stable polymorph in this dataset comes out at 0 meV per atom. The calculation puts the total energy at -46.047 eV per atom.

Cell lengths 3.3301, 3.6231, 9.2407 Å; angles 90.00, 90.00, 90.00 degrees
Fractional positions:
Sr: 0.0000 0.0000 0.0000
Sr: 0.5000 0.5000 0.3916
Os: 0.0000 0.0000 0.6598
W: 0.5000 0.5000 0.7269

---

A PBEsol-optimized structure of Sr2OsW. Source: Alexandria via LeMat-Bulk, functional SCAN.

Values from the calculation:
As for the formation enthalpy at 0 K: 1.692 eV/atom. The value obtained for the density of states at the Fermi level is 1.1435 states/eV per atom. The energy above the most stable polymorph in this dataset comes out at 1209 meV per atom. The calculation puts the total energy at -44.838 eV per atom.

Cell lengths 5.1062, 5.1062, 5.1062 Å; angles 60.00, 60.00, 60.00 degrees
Fractional positions:
Sr: 0.2500 0.2500 0.2500
Sr: 0.7500 0.7500 0.7500
Os: 0.0000 0.0000 0.0000
W: 0.5000 0.5000 0.5000

---

A PBEsol-optimized structure of SrY2Os. Source: Alexandria via LeMat-Bulk, functional SCAN.

Values from the calculation:
As for the formation enthalpy at 0 K: 0.432 eV/atom. The value obtained for the density of states at the Fermi level is 1.0019 states/eV per atom. The energy above the most stable polymorph in this dataset comes out at 601 meV per atom. The calculation puts the total energy at -37.028 eV per atom.

Cell lengths 4.1944, 4.8022, 4.8339 Å; angles 90.00, 90.00, 90.00 degrees
Fractional positions:
Sr: 0.0000 0.0000 0.0000
Y: 0.5000 0.0000 0.5000
Y: 0.5000 0.5000 0.0000
Os: 0.0000 0.5000 0.5000

---

A PBEsol-optimized structure of SrY2Os. Source: Alexandria via LeMat-Bulk, functional SCAN.

Values from the calculation:
As for the formation enthalpy at 0 K: -0.168 eV/atom. The value obtained for the density of states at the Fermi level is 0.4873 states/eV per atom. The energy above the most stable polymorph in this dataset comes out at 0 meV per atom. The calculation puts the total energy at -37.628 eV per atom.

Cell lengths 3.4186, 3.4186, 9.8176 Å; angles 90.00, 90.06, 90.00 degrees
Fractional positions:
Sr: 0.0000 0.0000 0.0000
Y: 0.4997 0.5000 0.3356
Y: 0.5003 0.5000 0.6644
Os: 0.0000 0.0000 0.5000